# 1
{
  "formula": "LiSiPtRh",
  "functional": "GGA-PBE",
  "state": "relaxed",
  "raw_formation_energy_ev_per_fu": -3.3,
  "cell": [[0.000, 2.930, 2.930], [2.930, 0.000, 2.930], [2.930, 2.930, 0.000]],
  "species": ["Li", "Si", "Pt", "Rh"],
  "fractional_positions": [[0.000, 0.000, 0.000], [0.500, 0.500, 0.500], [0.250, 0.250, 0.250], [0.750, 0.750, 0.750]]
}

---

# 2
{
  "formula": "NdIn2Ag6",
  "functional": "GGA-PBE",
  "state": "relaxed",
  "e_form_mev_per_atom": -38,
  "cell": [[-1.732, 4.092, 6.987], [1.732, -4.092, 6.987], [1.732, 4.092, -6.987]],
  "species": ["Nd", "In", "In", "Ag", "Ag", "Ag", "Ag", "Ag", "Ag"],
  "fractional_positions": [[0.000, 0.000, 0.000], [0.354, 0.854, 0.500], [0.646, 0.146, 0.500], [0.001, 0.677, 0.325], [0.329, 0.500, 0.829], [0.352, 0.677, 0.675], [0.648, 0.323, 0.325], [0.671, 0.500, 0.171], [0.999, 0.323, 0.675]]
}

---

# 3
{
  "formula": "ZnInCo2",
  "functional": "GGA-PBE",
  "state": "relaxed",
  "e_form_mev_per_atom": 93,
  "cell": [[3.022, 0.000, 0.000], [0.000, 3.022, 0.000], [0.000, 0.000, 5.920]],
  "species": ["Zn", "In", "Co", "Co"],
  "fractional_positions": [[0.000, 0.000, 0.000], [0.000, 0.000, 0.500], [0.500, 0.500, 0.226], [0.500, 0.500, 0.774]]
}

---

# 4
{
  "formula": "MgTc2P",
  "functional": "GGA-PBE",
  "state": "relaxed",
  "e_form_mev_per_atom": 42,
  "e_above_lowest_polymorph_mev_per_atom": 372,
  "cell": [[1.540, -2.420, 0.000], [1.540, 2.420, 0.000], [0.000, 0.000, 8.124]],
  "species": ["Mg", "Tc", "Tc", "P"],
  "fractional_positions": [[0.000, 0.000, 0.000], [0.500, 0.500, 0.287], [0.500, 0.500, 0.713], [0.000, 0.000, 0.500]]
}

---

Taking the records one at a time from the top gives final energy values of -6.007; -3.077; -4.463; -6.893 eV per atom.